Below is Al3Zn after structural relaxation, with properties calculated at the PBE-GGA level.

Summary:
Space group: No. 221
Total energy in eV per atom: -2.32
DFT formation energy in eV/atom: 0.804

Lattice parameters (Å, degrees): 4.828 4.828 4.828 90.00 90.00 90.00
Fractional positions:
Zn 0.000 0.000 0.000
Al 0.500 0.000 0.000
Al 0.000 0.500 0.000
Al 0.000 0.000 0.500